! Ta3Ti2Rh | Alexandria | PBE | relaxed; values from VASP
! **Energy of formation from the pure elements**: -0.24 eV/atom
! **Space-group type**: P-1
! **Calculated volume**: 102 Å³/f.u.
&SYSTEM
  ibrav = 0, nat = 12, ntyp = 3
/
ATOMIC_SPECIES
Ta 180.95 Ta.upf
Ti 47.87 Ti.upf
Rh 102.91 Rh.upf
ATOMIC_POSITIONS crystal
Ta 0.3310 0.7611 0.7888
Ta 0.6690 0.2389 0.2112
Ta 0.6665 0.7472 0.9597
Ta 0.3335 0.2528 0.0403
Ta 0.0058 0.7409 0.6241
Ta 0.9942 0.2591 0.3759
Ti 0.0044 0.2522 0.8696
Ti 0.9956 0.7478 0.1304
Ti 0.3304 0.2470 0.5463
Ti 0.6696 0.7530 0.4537
Rh 0.6672 0.2564 0.7052
Rh 0.3328 0.7436 0.2948
CELL_PARAMETERS angstrom
-2.9114 -1.4105 0.0202
0.7233 -5.1759 1.2797
-1.6948 -3.7526 13.3109